Material: CaMnSb
Method: DFT, PBE
State: optimized geometry

Lattice parameters (Å, degrees): 5.016 5.016 5.016 60.00 60.00 60.00
Fractional positions:
Sb: 0.500 0.500 0.500
Ca: 0.750 0.750 0.750
Mn: 0.000 0.000 0.000

Summary:
E_tot = -4.792 eV per atom
SG = No. 216



Material: CaMnSb2
Method: DFT, PBE
State: optimized geometry

Lattice parameters (Å, degrees): 7.767 7.767 6.411 52.72 52.72 90.00
Fractional positions:
Sb: 0.690 0.125 0.250
Sb: 0.060 0.625 0.250
Sb: 0.375 0.310 0.750
Sb: 0.875 0.940 0.750
Ca: 0.500 0.500 0.000
Ca: 0.250 0.750 0.500
Mn: 0.000 0.000 0.000
Mn: 0.750 0.250 0.500

Summary:
E_tot = -4.832 eV per atom
SG = No. 122



Material: CaMnSb4
Method: DFT, PBE
State: optimized geometry

Lattice parameters (Å, degrees): 6.264 6.264 6.264 60.00 60.00 60.00
Fractional positions:
Ca: 0.750 0.750 0.750
Mn: 0.000 0.000 0.000
Sb: 0.877 0.374 0.374
Sb: 0.374 0.374 0.877
Sb: 0.374 0.877 0.374
Sb: 0.374 0.374 0.374

Summary:
E_tot = -4.399 eV per atom
SG = No. 216



Material: Ca3MnSb
Method: DFT, PBE
State: optimized geometry

Lattice parameters (Å, degrees): 5.356 5.356 5.356 90.00 90.00 90.00
Fractional positions:
Sb: 0.500 0.500 0.500
Ca: 0.000 0.500 0.000
Ca: 0.000 0.000 0.500
Ca: 0.500 0.000 0.000
Mn: 0.000 0.000 0.000

Summary:
SG = No. 221
Relative energy among the computed polymorphs = 22 kJ/mol of formula units



Material: CaMnSb2
Method: DFT, PBE
State: optimized geometry

Lattice parameters (Å, degrees): 4.150 4.150 7.310 73.53 73.53 60.00
Fractional positions:
Sb: 0.981 0.981 0.056
Sb: 0.519 0.519 0.444
Ca: 0.750 0.750 0.750
Mn: 0.250 0.250 0.250

Summary:
E_tot = -5.221 eV per atom
SG = No. 166



Material: CaMn2Sb
Method: DFT, PBE
State: optimized geometry

Lattice parameters (Å, degrees): 4.834 3.307 5.565 83.16 90.00 90.00
Fractional positions:
Sb: 0.500 0.250 0.250
Ca: 0.500 0.750 0.750
Mn: 0.000 0.117 0.018
Mn: 0.000 0.383 0.482

Summary:
E_tot = -5.862 eV per atom
SG = No. 10



Material: CaMnSb3
Method: DFT, PBE
State: optimized geometry

Lattice parameters (Å, degrees): 5.973 6.254 13.364 90.00 90.00 90.00
Fractional positions:
Ca: 0.750 0.497 0.690
Ca: 0.250 0.503 0.310
Ca: 0.750 0.997 0.310
Ca: 0.250 0.003 0.690
Mn: 0.500 0.250 0.093
Mn: 0.000 0.750 0.907
Mn: 0.500 0.750 0.907
Mn: 0.000 0.250 0.093
Sb: 0.000 0.250 0.498
Sb: 0.500 0.750 0.502
Sb: 0.000 0.750 0.502
Sb: 0.500 0.250 0.498
Sb: 0.250 0.106 0.936
Sb: 0.750 0.894 0.064
Sb: 0.250 0.606 0.064
Sb: 0.750 0.394 0.936
Sb: 0.250 0.498 0.789
Sb: 0.750 0.502 0.211
Sb: 0.250 0.998 0.211
Sb: 0.750 0.002 0.789

Summary:
SG = No. 57
Relative energy among the computed polymorphs = 0 kJ/mol of formula units



Material: CaMn2Sb
Method: DFT, PBE
State: optimized geometry

Lattice parameters (Å, degrees): 3.678 3.678 6.430 90.00 90.00 90.00
Fractional positions:
Sb: 0.500 0.500 0.250
Ca: 0.500 0.500 0.750
Mn: 0.000 0.000 0.042
Mn: 0.000 0.000 0.458

Summary:
E_tot = -5.860 eV per atom
SG = No. 123



Material: CaMnSb3
Method: DFT, PBE
State: optimized geometry

Lattice parameters (Å, degrees): 5.085 5.085 5.085 90.00 90.00 90.00
Fractional positions:
Sb: 0.000 0.500 0.000
Sb: 0.000 0.000 0.500
Sb: 0.500 0.000 0.000
Ca: 0.500 0.500 0.500
Mn: 0.000 0.000 0.000

Summary:
SG = No. 221
Relative energy among the computed polymorphs = 219 kJ/mol of formula units



Material: CaMn2Sb
Method: DFT, PBE
State: optimized geometry

Lattice parameters (Å, degrees): 5.724 5.724 5.724 45.99 45.99 45.99
Fractional positions:
Sb: 0.250 0.250 0.250
Ca: 0.750 0.750 0.750
Mn: 0.948 0.948 0.948
Mn: 0.552 0.552 0.552

Summary:
E_tot = -6.001 eV per atom
SG = No. 166



Material: CaMnSb2
Method: DFT, PBE
State: optimized geometry

Lattice parameters (Å, degrees): 5.066 4.370 4.833 90.05 90.00 90.00
Fractional positions:
Sb: 0.000 0.936 0.875
Sb: 0.500 0.917 0.375
Ca: 0.000 0.430 0.375
Mn: 0.500 0.218 0.875

Summary:
E_tot = -5.044 eV per atom
SG = No. 25



Material: CaMnSb2
Method: DFT, PBE
State: optimized geometry

Lattice parameters (Å, degrees): 7.759 7.759 3.972 75.16 75.16 26.72
Fractional positions:
Sb: 0.931 0.931 0.069
Sb: 0.725 0.725 0.774
Ca: 0.551 0.551 0.449
Mn: 0.292 0.292 0.208

Summary:
E_tot = -5.083 eV per atom
SG = No. 44